Entry from Alexandria via LeMat-Bulk: a relaxed structure of Er5Ag4Os (PBE).

Structure (CIF):
```
data_Er5Ag4Os
_cell_length_a 3.498
_cell_length_b 3.498
_cell_length_c 18.360
_cell_angle_alpha 90.00
_cell_angle_beta 90.00
_cell_angle_gamma 90.00
_symmetry_space_group_name_H-M 'P 4/m m m'
_symmetry_Int_Tables_number 123
_symmetry_space_group_name_Hall '-P 4 2'
loop_
_atom_site_label
_atom_site_fract_x
_atom_site_fract_y
_atom_site_fract_z
Er1 0.000 0.000 0.000
Er2 0.000 0.000 0.203
Er3 0.000 0.000 0.412
Ag1 0.500 0.500 0.101
Ag2 0.500 0.500 0.304
Os1 0.500 0.500 0.500
```

---

Entry from Alexandria via LeMat-Bulk: a relaxed structure of Er3AgOs (PBE).

Structure (CIF):
```
data_Er3AgOs
_cell_length_a 6.377
_cell_length_b 9.658
_cell_length_c 15.615
_cell_angle_alpha 90.00
_cell_angle_beta 90.00
_cell_angle_gamma 90.00
_symmetry_space_group_name_H-M 'F m m m'
_symmetry_Int_Tables_number 69
_symmetry_space_group_name_Hall '-F 2 2'
loop_
_atom_site_label
_atom_site_fract_x
_atom_site_fract_y
_atom_site_fract_z
Er1 0.000 0.000 0.196
Er2 0.000 0.184 0.391
Ag1 0.210 0.000 0.000
Os1 0.250 0.250 0.250
```

---

# Er4AgOs, optimized geometry, DFT PBE
data_Er4AgOs
_cell_length_a 13.405
_cell_length_b 13.405
_cell_length_c 13.405
_cell_angle_alpha 90.00
_cell_angle_beta 90.00
_cell_angle_gamma 90.00
_symmetry_space_group_name_H-M 'F -4 3 m'
_symmetry_Int_Tables_number 216
_symmetry_space_group_name_Hall 'F -4 2 3'
loop_
_atom_site_label
_atom_site_fract_x
_atom_site_fract_y
_atom_site_fract_z
Er1 0.000 0.000 0.190
Er2 0.058 0.250 0.750
Er3 0.151 0.151 0.349
Ag1 0.082 0.082 0.582
Os1 0.140 0.140 0.140
# * distance to the lowest polymorph of the same formula: 0 meV per atom

---

Entry from Alexandria via LeMat-Bulk: a relaxed structure of Er2AgOs (PBE).

Structure (CIF):
```
data_Er2AgOs
_cell_length_a 3.381
_cell_length_b 3.381
_cell_length_c 7.531
_cell_angle_alpha 90.00
_cell_angle_beta 90.00
_cell_angle_gamma 90.00
_symmetry_space_group_name_H-M 'P 4/m m m'
_symmetry_Int_Tables_number 123
_symmetry_space_group_name_Hall '-P 4 2'
loop_
_atom_site_label
_atom_site_fract_x
_atom_site_fract_y
_atom_site_fract_z
Er1 0.000 0.000 0.220
Ag1 0.500 0.500 0.500
Os1 0.500 0.500 0.000
```

---

Entry from Alexandria via LeMat-Bulk: a relaxed structure of Er2AgOs (PBE).

Structure (CIF):
```
data_Er2AgOs
_cell_length_a 6.937
_cell_length_b 6.937
_cell_length_c 6.937
_cell_angle_alpha 90.00
_cell_angle_beta 90.00
_cell_angle_gamma 90.00
_symmetry_space_group_name_H-M 'F m -3 m'
_symmetry_Int_Tables_number 225
_symmetry_space_group_name_Hall '-F 4 2 3'
loop_
_atom_site_label
_atom_site_fract_x
_atom_site_fract_y
_atom_site_fract_z
Er1 0.250 0.250 0.250
Ag1 0.000 0.000 0.000
Os1 0.000 0.000 0.500
```

---

Entry from Alexandria via LeMat-Bulk: a relaxed structure of Er7Ag2Os2 (PBE).

Structure (CIF):
```
data_Er7Ag2Os2
_cell_length_a 8.018
_cell_length_b 10.599
_cell_length_c 6.999
_cell_angle_alpha 90.00
_cell_angle_beta 90.00
_cell_angle_gamma 90.00
_symmetry_space_group_name_H-M 'C m m m'
_symmetry_Int_Tables_number 65
_symmetry_space_group_name_Hall '-C 2 2'
loop_
_atom_site_label
_atom_site_fract_x
_atom_site_fract_y
_atom_site_fract_z
Er1 0.000 0.000 0.000
Er2 0.000 0.500 0.244
Er3 0.250 0.250 0.254
Ag1 0.179 0.000 0.500
Os1 0.000 0.289 0.000
```

---

Entry from Alexandria via LeMat-Bulk: a relaxed structure of Er4Ag2Os (PBE).

Structure (CIF):
```
data_Er4Ag2Os
_cell_length_a 4.9700
_cell_length_b 4.9700
_cell_length_c 24.2061
_cell_angle_alpha 90.00
_cell_angle_beta 90.00
_cell_angle_gamma 120.00
_symmetry_space_group_name_H-M 'R -3 m'
_symmetry_Int_Tables_number 166
_symmetry_space_group_name_Hall '-R 3 2"'
loop_
_atom_site_label
_atom_site_fract_x
_atom_site_fract_y
_atom_site_fract_z
Er1 0.0000 0.0000 0.1200
Er2 0.0000 0.0000 0.3712
Ag1 0.0000 0.0000 0.2483
Os1 0.0000 0.0000 0.0000
```

---

Entry from Alexandria via LeMat-Bulk: a relaxed structure of Er5Ag2Os (PBE).

Structure (CIF):
```
data_Er5Ag2Os
_cell_length_a 7.125
_cell_length_b 7.125
_cell_length_c 15.598
_cell_angle_alpha 90.00
_cell_angle_beta 90.00
_cell_angle_gamma 90.00
_symmetry_space_group_name_H-M 'I 4/m c m'
_symmetry_Int_Tables_number 140
_symmetry_space_group_name_Hall '-I 4 2c'
loop_
_atom_site_label
_atom_site_fract_x
_atom_site_fract_y
_atom_site_fract_z
Er1 0.000 0.000 0.000
Er2 0.176 0.324 0.157
Ag1 0.131 0.369 0.500
Os1 0.000 0.000 0.250
```

---

Number 1: ΔH_f (0 K) -0.328 eV per atom. Number 2: ΔH_f (0 K) -0.307 eV per atom. Number 3: ΔH_f (0 K) -0.272 eV per atom. Number 4: ΔH_f (0 K) -0.360 eV per atom. Number 5: ΔH_f (0 K) -0.318 eV per atom. Number 6: ΔH_f (0 K) -0.151 eV per atom. Number 7: ΔH_f (0 K) -0.214 eV per atom. Number 8: ΔH_f (0 K) -0.238 eV per atom.